[1]
Material: Tb2ScInN
Method: DFT, PBE
State: relaxed

a = 4.511 Å, b = 4.850 Å, c = 4.850 Å
α = 90.00°, β = 90.00°, γ = 90.00°
Fractional positions:
Tb1 0.000 0.000 0.500
Tb2 0.000 0.500 0.000
Sc1 0.500 0.000 0.000
In1 0.500 0.500 0.500
N1 0.000 0.000 0.000

Values from the calculation:
E_form (uncorrected) = -1.011 eV per atom
DFT total energy = -6.342 eV per atom
Space-group type = P4/mmm, No. 123

[2]
Material: KNbCd
Method: DFT, PBE
State: relaxed

a = 7.282 Å, b = 8.579 Å, c = 6.041 Å
α = 71.95°, β = 114.66°, γ = 145.84°
Fractional positions:
K1 0.776 0.558 0.269
K2 0.275 0.057 0.790
Nb1 0.785 0.099 0.676
Nb2 0.199 0.513 0.858
Cd1 0.809 0.042 0.185
Cd2 0.338 0.569 0.432

Values from the calculation:
Offset from the most stable computed form = 31.7 kJ/mol of atoms
DFT formation energy = 569.2 meV/atom
DFT total energy = -3.458 eV per atom
Space-group type = P1, No. 1

[3]
Material: SrHg3F8
Method: DFT, PBE
State: relaxed

a = 4.568 Å, b = 7.757 Å, c = 7.983 Å
α = 107.02°, β = 106.62°, γ = 90.00°
Fractional positions:
Sr1 0.306 0.701 0.613
Hg1 0.400 0.293 0.801
Hg2 0.693 0.283 0.387
Hg3 0.606 0.705 0.212
F1 0.439 0.590 0.878
F2 0.382 0.012 0.764
F3 0.842 0.282 0.684
F4 0.239 0.361 0.478
F5 0.760 0.642 0.521
F6 0.148 0.718 0.297
F7 0.572 0.395 0.144
F8 0.609 0.988 0.219

Values from the calculation:
E_form (uncorrected) = -1.998 eV per atom
DFT total energy = -3.461 eV per atom
Space-group type = Cm, No. 8

[4]
Material: GaSi2HS
Method: DFT, PBE
State: relaxed

a = 4.287 Å, b = 5.484 Å, c = 5.489 Å
α = 113.50°, β = 92.21°, γ = 109.48°
Fractional positions:
Ga1 0.447 0.477 0.426
Si1 0.843 0.235 0.255
Si2 0.813 0.842 0.861
H1 0.172 0.873 0.832
S1 0.806 0.814 0.256

Values from the calculation:
Offset from the most stable computed form = 28.4 kJ/mol of atoms
DFT total energy = -4.209 eV per atom
Space-group type = P1, No. 1